CaNiIr2, relaxed, DFT PBE-GGA; calculated total energy = -6.195 eV per atom; magnetic moment = 0.0000 μB/atom; formation energy = 0.181 eV per atom; E above lowest polymorph = 0.165 eV per atom
1.0
-0.514 -2.391 4.150
4.392 -0.548 1.901
-2.231 3.943 -1.636
Ca Ir Ni
1 2 1
Direct
0.750 0.250 0.500
0.000 0.000 0.000
0.250 0.750 0.500
0.500 0.500 0.000